# 1
Material: Mn2FeNiC
Method: DFT, PBE
State: optimized geometry

Values from the calculation:
Symmetry ... P4/mmm
ΔH_f (0 K) ... 79 meV/atom
Energy ... -8.2825 eV per atom
N(E_F) ... 2.69 states/eV per cell

Unit cell a=3.853 b=3.853 c=3.742 alpha=90.00 beta=90.00 gamma=90.00
Each line ends with the local moment (μB).
Fractional positions:
Mn 0.000 0.500 0.000  2.58
Ni 0.500 0.500 0.500  0.93
Fe 0.000 0.000 0.500  2.03
Mn 0.500 0.000 0.000  2.58
C 0.000 0.000 0.000  -0.16

=====

# 2
Material: Mn2FePdC
Method: DFT, PBE
State: optimized geometry

Values from the calculation:
Symmetry ... P4/mmm
ΔH_f (0 K) ... 18 meV/atom
Energy ... -8.2254 eV per atom
N(E_F) ... 2.30 states/eV per cell

Unit cell a=3.945 b=3.945 c=3.817 alpha=90.00 beta=90.00 gamma=90.00
Each line ends with the local moment (μB).
Fractional positions:
Pd 0.500 0.500 0.500  0.43
Mn 0.000 0.500 0.000  2.80
Mn 0.500 0.000 0.000  2.80
C 0.000 0.000 0.000  -0.18
Fe 0.000 0.000 0.500  2.12

=====

# 3
Material: PmMnFeC2
Method: DFT, PBE
State: optimized geometry

Values from the calculation:
Symmetry ... I-4m2
ΔH_f (0 K) ... -186 meV/atom
Energy ... -8.3522 eV per atom
N(E_F) ... 3.69 states/eV per cell

Unit cell a=3.503 b=3.503 c=5.558 alpha=108.37 beta=108.37 gamma=90.00
Each line ends with the local moment (μB).
Fractional positions:
Fe 0.750 0.250 0.500  0.29
C 0.666 0.666 0.332  -0.03
Pm 0.000 0.000 0.000  -0.04
Mn 0.250 0.750 0.500  0.61
C 0.334 0.334 0.668  -0.03

=====

# 4
Material: PrMnFeC2
Method: DFT, PBE
State: optimized geometry

Values from the calculation:
Symmetry ... I-4m2
ΔH_f (0 K) ... -167 meV/atom
Energy ... -8.3392 eV per atom
N(E_F) ... 3.55 states/eV per cell

Unit cell a=3.500 b=3.500 c=5.688 alpha=107.92 beta=107.92 gamma=90.00
Each line ends with the local moment (μB).
Fractional positions:
Fe 0.750 0.250 0.500  0.46
Pr 0.000 0.000 0.000  -0.06
Mn 0.250 0.750 0.500  0.78
C 0.667 0.667 0.335  -0.03
C 0.333 0.333 0.665  -0.03

=====

# 5
Material: Mn2FePtC
Method: DFT, PBE
State: optimized geometry

Values from the calculation:
Symmetry ... P4/mmm
ΔH_f (0 K) ... -51 meV/atom
Energy ... -8.4645 eV per atom
N(E_F) ... 3.42 states/eV per cell

Unit cell a=3.934 b=3.934 c=3.830 alpha=90.00 beta=90.00 gamma=90.00
Each line ends with the local moment (μB).
Fractional positions:
C 0.000 0.000 0.000  -0.18
Mn 0.500 0.000 0.000  2.72
Mn 0.000 0.500 0.000  2.72
Fe 0.000 0.000 0.500  2.22
Pt 0.500 0.500 0.500  0.38

=====

# 6
Material: MnFe2PtC
Method: DFT, PBE
State: optimized geometry

Values from the calculation:
Symmetry ... P4/mmm
ΔH_f (0 K) ... 128 meV/atom
Energy ... -8.1435 eV per atom
N(E_F) ... 9.04 states/eV per cell

Unit cell a=3.775 b=3.775 c=3.799 alpha=90.00 beta=90.00 gamma=90.00
Fractional positions:
Pt 0.500 0.500 0.500
Mn 0.000 0.000 0.500
C 0.000 0.000 0.000
Fe 0.500 0.000 0.000
Fe 0.000 0.500 0.000

=====

# 7
Material: RbMn2FeC
Method: DFT, PBE
State: optimized geometry

Values from the calculation:
Symmetry ... P4/mmm
ΔH_f (0 K) ... 3638 meV/atom
Energy ... -3.7610 eV per atom
N(E_F) ... 7.48 states/eV per cell

Unit cell a=4.970 b=4.495 c=4.970 alpha=90.00 beta=90.00 gamma=90.00
Each line ends with the local moment (μB).
Fractional positions:
Rb 0.000 0.000 0.000  -0.02
Mn 0.500 0.000 0.000  4.02
Fe 0.000 0.500 0.000  2.34
Mn 0.000 0.000 0.500  3.69
C 0.500 0.500 0.500  -0.21

=====

# 8
Material: Mn2FeReC
Method: DFT, PBE
State: optimized geometry

Values from the calculation:
Symmetry ... P4/mmm
ΔH_f (0 K) ... 2533 meV/atom
Energy ... -7.1614 eV per atom
N(E_F) ... 4.23 states/eV per cell

Unit cell a=4.643 b=4.439 c=4.643 alpha=90.00 beta=90.00 gamma=90.00
Each line ends with the local moment (μB).
Fractional positions:
Fe 0.000 0.500 0.000  1.83
Re 0.000 0.000 0.000  -0.69
C 0.500 0.500 0.500  -0.45
Mn 0.000 0.000 0.500  3.07
Mn 0.500 0.000 0.000  3.28

=====

# 9
Material: Mn2FeRhC
Method: DFT, PBE
State: optimized geometry

Values from the calculation:
Symmetry ... P4/mmm
ΔH_f (0 K) ... 80 meV/atom
Energy ... -8.5956 eV per atom
N(E_F) ... 6.64 states/eV per cell

Unit cell a=3.866 b=3.866 c=3.785 alpha=90.00 beta=90.00 gamma=90.00
Each line ends with the local moment (μB).
Fractional positions:
Mn 0.500 0.000 0.000  2.30
Fe 0.000 0.000 0.500  -1.49
Mn 0.000 0.500 0.000  2.30
Rh 0.500 0.500 0.500  0.16
C 0.000 0.000 0.000  -0.08

=====

# 10
Material: MnFeSbC2
Method: DFT, PBE
State: optimized geometry

Values from the calculation:
Energy relative to the elements, uncorrected ... 254.7 kJ/mol of atoms
Symmetry ... P4/mmm
Energy ... -5.4006 eV per atom
N(E_F) ... 4.19 states/eV per cell

Unit cell a=4.215 b=4.215 c=5.034 alpha=90.00 beta=90.00 gamma=90.00
Each line ends with the local moment (μB).
Fractional positions:
Sb 0.000 0.000 0.000  -0.07
C 0.000 0.500 0.000  -0.10
Fe 0.500 0.500 0.500  3.15
C 0.500 0.000 0.000  -0.10
Mn 0.000 0.000 0.500  3.49

=====

# 11
Material: ScMn2FeC
Method: DFT, PBE
State: optimized geometry

Values from the calculation:
Symmetry ... P4/mmm
ΔH_f (0 K) ... -135 meV/atom
Energy ... -8.6067 eV per atom
N(E_F) ... 5.22 states/eV per cell

Unit cell a=3.917 b=3.917 c=3.864 alpha=90.00 beta=90.00 gamma=90.00
Each line ends with the local moment (μB).
Fractional positions:
Fe 0.000 0.000 0.500  1.28
C 0.000 0.000 0.000  -0.12
Mn 0.500 0.000 0.000  1.78
Mn 0.000 0.500 0.000  1.78
Sc 0.500 0.500 0.500  -0.24

=====

# 12
Material: Mn2FeSiC
Method: DFT, PBE
State: optimized geometry

Values from the calculation:
Energy relative to the elements, uncorrected ... -9.9 kJ/mol of atoms
Symmetry ... P4/mmm
Energy ... -8.3928 eV per atom
N(E_F) ... 3.87 states/eV per cell

Unit cell a=3.738 b=3.738 c=3.729 alpha=90.00 beta=90.00 gamma=90.00
Each line ends with the local moment (μB).
Fractional positions:
Si 0.500 0.500 0.500  -0.07
C 0.000 0.000 0.000  -0.06
Mn 0.000 0.500 0.000  1.07
Fe 0.000 0.000 0.500  0.12
Mn 0.500 0.000 0.000  1.07

=====

# 13
Material: MnFe2SiC
Method: DFT, PBE
State: optimized geometry

Values from the calculation:
Energy relative to the elements, uncorrected ... -7.4 kJ/mol of atoms
Symmetry ... P4/mmm
Energy ... -8.2246 eV per atom
N(E_F) ... 4.72 states/eV per cell

Unit cell a=3.701 b=3.701 c=3.734 alpha=90.00 beta=90.00 gamma=90.00
Each line ends with the local moment (μB).
Fractional positions:
C 0.000 0.000 0.000  -0.03
Fe 0.000 0.500 0.000  0.07
Si 0.500 0.500 0.500  -0.04
Mn 0.000 0.000 0.500  0.97
Fe 0.500 0.000 0.000  0.07

=====

# 14
Material: Mn3Fe2SiC
Method: DFT, PBE
State: optimized geometry

Values from the calculation:
Energy relative to the elements, uncorrected ... -16.0 kJ/mol of atoms
Symmetry ... Cmcm
Energy ... -8.6055 eV per atom
N(E_F) ... 29.98 states/eV per cell

Unit cell a=6.352 b=6.352 c=7.378 alpha=90.00 beta=90.00 gamma=103.78
Each line ends with the local moment (μB).
Fractional positions:
Si 0.672 0.175 0.912  -0.07
C 0.196 0.196 0.124  -0.09
Fe 0.877 0.123 0.162  0.74
Mn 0.849 0.849 0.912  1.80
Si 0.825 0.328 0.412  -0.07
Mn 0.813 0.513 0.725  1.69
Mn 0.462 0.462 0.912  2.41
Si 0.328 0.825 0.412  -0.07
Fe 0.692 0.934 0.412  0.68
Mn 0.151 0.151 0.412  1.80
Fe 0.877 0.123 0.662  0.74
Mn 0.187 0.487 0.599  1.69
C 0.804 0.804 0.200  -0.09
Mn 0.513 0.813 0.099  1.69
C 0.804 0.804 0.624  -0.09
Fe 0.934 0.692 0.412  0.68
C 0.196 0.196 0.700  -0.09
Mn 0.487 0.187 0.599  1.69
Mn 0.487 0.187 0.225  1.69
Mn 0.813 0.513 0.099  1.69
Fe 0.123 0.877 0.662  0.74
Fe 0.308 0.066 0.912  0.68
Fe 0.123 0.877 0.162  0.74
Mn 0.187 0.487 0.225  1.69
Mn 0.513 0.813 0.725  1.69
Si 0.175 0.672 0.912  -0.07
Fe 0.066 0.308 0.912  0.68
Mn 0.538 0.538 0.412  2.41

=====

# 15
Material: Mn5Fe5Si2C2
Method: DFT, PBE
State: optimized geometry

Values from the calculation:
Energy relative to the elements, uncorrected ... -15.2 kJ/mol of atoms
Symmetry ... Cmc2_1
Energy ... -8.5477 eV per atom
N(E_F) ... 29.00 states/eV per cell

Unit cell a=6.362 b=6.362 c=7.391 alpha=90.00 beta=90.00 gamma=103.50
Each line ends with the local moment (μB).
Fractional positions:
Fe 0.694 0.936 0.176  0.91
Fe 0.848 0.848 0.674  2.16
C 0.807 0.807 0.388  -0.10
Fe 0.936 0.694 0.176  0.91
Mn 0.539 0.539 0.167  2.39
Fe 0.121 0.875 0.925  1.11
Mn 0.187 0.486 0.986  1.88
Fe 0.875 0.121 0.925  1.11
Fe 0.152 0.152 0.174  2.16
Mn 0.488 0.190 0.362  1.87
Fe 0.879 0.125 0.425  1.11
C 0.198 0.198 0.463  -0.10
Si 0.329 0.825 0.174  -0.08
Mn 0.461 0.461 0.667  2.39
Mn 0.813 0.514 0.486  1.88
Si 0.175 0.671 0.674  -0.08
Fe 0.064 0.306 0.676  0.91
Mn 0.190 0.488 0.362  1.87
Mn 0.486 0.187 0.986  1.88
C 0.802 0.802 0.963  -0.10
Mn 0.810 0.512 0.862  1.87
Si 0.825 0.329 0.174  -0.08
Mn 0.514 0.813 0.486  1.88
C 0.193 0.193 0.888  -0.10
Mn 0.512 0.810 0.862  1.87
Si 0.671 0.175 0.674  -0.08
Fe 0.306 0.064 0.676  0.91
Fe 0.125 0.879 0.425  1.11

=====

# 16
Material: SmMnFeC2
Method: DFT, PBE
State: optimized geometry

Values from the calculation:
Symmetry ... I-4m2
ΔH_f (0 K) ... -188 meV/atom
Energy ... -8.3481 eV per atom
N(E_F) ... 3.69 states/eV per cell

Unit cell a=3.506 b=3.506 c=5.511 alpha=108.55 beta=108.55 gamma=90.00
Each line ends with the local moment (μB).
Fractional positions:
C 0.334 0.334 0.668  -0.02
Fe 0.750 0.250 0.500  0.22
C 0.666 0.666 0.332  -0.02
Sm 0.000 0.000 0.000  -0.03
Mn 0.250 0.750 0.500  0.55

=====

# 17
Material: MnFe2SnC
Method: DFT, PBE
State: optimized geometry

Values from the calculation:
Symmetry ... P4/mmm
ΔH_f (0 K) ... 35 meV/atom
Energy ... -7.8293 eV per atom
N(E_F) ... 4.22 states/eV per cell

Unit cell a=3.885 b=3.885 c=3.855 alpha=90.00 beta=90.00 gamma=90.00
Each line ends with the local moment (μB).
Fractional positions:
C 0.000 0.000 0.000  -0.10
Fe 0.500 0.000 0.000  0.99
Fe 0.000 0.500 0.000  0.99
Sn 0.500 0.500 0.500  -0.12
Mn 0.000 0.000 0.500  1.52

=====

# 18
Material: SrMnFeC2
Method: DFT, PBE
State: optimized geometry

Values from the calculation:
Symmetry ... I-4m2
ΔH_f (0 K) ... -54 meV/atom
Energy ... -7.6066 eV per atom
N(E_F) ... 3.60 states/eV per cell

Unit cell a=3.553 b=3.553 c=5.832 alpha=107.74 beta=107.74 gamma=90.00
Each line ends with the local moment (μB).
Fractional positions:
C 0.679 0.679 0.357  -0.04
Sr 0.000 0.000 0.000  0.00
C 0.321 0.321 0.643  -0.04
Fe 0.750 0.250 0.500  0.64
Mn 0.250 0.750 0.500  0.65

=====

# 19
Material: TaMnFe2C
Method: DFT, PBE
State: optimized geometry

Values from the calculation:
Symmetry ... P4/mmm
ΔH_f (0 K) ... -153 meV/atom
Energy ... -9.5874 eV per atom
N(E_F) ... 2.55 states/eV per cell

Unit cell a=3.767 b=3.767 c=3.846 alpha=90.00 beta=90.00 gamma=90.00
Fractional positions:
Fe 0.500 0.000 0.000
Fe 0.000 0.500 0.000
C 0.000 0.000 0.000
Mn 0.000 0.000 0.500
Ta 0.500 0.500 0.500

=====

# 20
Material: TbMnFeC
Method: DFT, PBE
State: optimized geometry

Values from the calculation:
Symmetry ... P4/nmm
ΔH_f (0 K) ... -3 meV/atom
Energy ... -7.8746 eV per atom
N(E_F) ... 6.72 states/eV per cell

Unit cell a=3.361 b=3.361 c=10.076 alpha=90.00 beta=90.00 gamma=90.00
Each line ends with the local moment (μB).
Fractional positions:
C 0.750 0.750 0.888  -0.06
Mn 0.750 0.250 0.000  1.24
Tb 0.250 0.250 0.749  -0.26
Fe 0.250 0.750 0.500  2.12
Mn 0.250 0.750 0.000  1.24
Tb 0.750 0.750 0.251  -0.26
Fe 0.750 0.250 0.500  2.12
C 0.250 0.250 0.112  -0.06

=====

# 21
Material: MnFe2TcC
Method: DFT, PBE
State: optimized geometry

Values from the calculation:
Symmetry ... P4/mmm
ΔH_f (0 K) ... 172 meV/atom
Energy ... -8.9650 eV per atom
N(E_F) ... 3.75 states/eV per cell

Unit cell a=3.798 b=3.798 c=3.807 alpha=90.00 beta=90.00 gamma=90.00
Each line ends with the local moment (μB).
Fractional positions:
Mn 0.000 0.000 0.500  -1.60
C 0.000 0.000 0.000  0.00
Fe 0.500 0.000 0.000  1.71
Fe 0.000 0.500 0.000  1.71
Tc 0.500 0.500 0.500  0.66

=====

# 22
Material: ThMnFeC2
Method: DFT, PBE
State: optimized geometry

Values from the calculation:
Symmetry ... I-4m2
ΔH_f (0 K) ... -199 meV/atom
Energy ... -8.8986 eV per atom
N(E_F) ... 4.22 states/eV per cell

Unit cell a=3.444 b=3.444 c=5.689 alpha=107.62 beta=107.62 gamma=90.00
Each line ends with the local moment (μB).
Fractional positions:
C 0.657 0.657 0.313  -0.02
Mn 0.250 0.750 0.500  0.43
C 0.343 0.343 0.687  -0.02
Th 0.000 0.000 0.000  -0.03
Fe 0.750 0.250 0.500  0.34

=====

# 23
Material: TiMnFe2C
Method: DFT, PBE
State: optimized geometry

Values from the calculation:
Symmetry ... P4/mmm
ΔH_f (0 K) ... -216 meV/atom
Energy ... -8.8586 eV per atom
N(E_F) ... 4.73 states/eV per cell

Unit cell a=3.744 b=3.744 c=3.809 alpha=90.00 beta=90.00 gamma=90.00
Each line ends with the local moment (μB).
Fractional positions:
Mn 0.000 0.000 0.500  0.52
Ti 0.500 0.500 0.500  -0.11
Fe 0.500 0.000 0.000  0.04
Fe 0.000 0.500 0.000  0.04
C 0.000 0.000 0.000  -0.01

=====

# 24
Material: TmMnFeC2
Method: DFT, PBE
State: optimized geometry

Values from the calculation:
Symmetry ... I-4m2
ΔH_f (0 K) ... -194 meV/atom
Energy ... -8.3043 eV per atom
N(E_F) ... 3.58 states/eV per cell

Unit cell a=3.476 b=3.476 c=5.281 alpha=109.22 beta=109.22 gamma=90.00
Each line ends with the local moment (μB).
Fractional positions:
Mn 0.250 0.750 0.500  0.62
Tm 0.000 0.000 0.000  -0.03
Fe 0.750 0.250 0.500  0.24
C 0.342 0.342 0.685  -0.02
C 0.658 0.658 0.315  -0.02

=====

# 25
Material: TmMnFeC
Method: DFT, PBE
State: optimized geometry

Values from the calculation:
Symmetry ... P4/nmm
ΔH_f (0 K) ... -24 meV/atom
Energy ... -7.8562 eV per atom
N(E_F) ... 5.95 states/eV per cell

Unit cell a=3.304 b=3.304 c=9.946 alpha=90.00 beta=90.00 gamma=90.00
Each line ends with the local moment (μB).
Fractional positions:
Tm 0.250 0.250 0.749  0.15
C 0.250 0.250 0.121  -0.04
C 0.750 0.750 0.879  -0.04
Fe 0.250 0.750 0.500  -1.95
Mn 0.750 0.250 0.000  1.07
Mn 0.250 0.750 0.000  1.07
Fe 0.750 0.250 0.500  -1.95
Tm 0.750 0.750 0.251  0.15

=====

# 26
Material: UMnFeC
Method: DFT, PBE
State: optimized geometry

Values from the calculation:
Symmetry ... Pmmm
ΔH_f (0 K) ... 162 meV/atom
Energy ... -9.3740 eV per atom
N(E_F) ... 4.70 states/eV per cell

Unit cell a=3.838 b=3.824 c=3.738 alpha=90.00 beta=90.00 gamma=90.00
Each line ends with the local moment (μB).
Fractional positions:
Fe 0.000 0.000 0.500  0.30
Mn 0.000 0.500 0.000  0.41
C 0.000 0.000 0.000  -0.01
U 0.500 0.500 0.500  -1.09